(1)
This record from the Alexandria database describes an optimized crystal structure of ErTh2PaSb4. The functional is PBE-GGA.

Structure (extended XYZ):
```
8
Lattice="7.6733 0.0000 0.0000 0.0000 4.4354 0.0000 -2.5636 0.0000 7.2362" Properties=species:S:1:pos:R:3 pbc="T T T"
Er 0.0000 0.0000 0.0000
Th 2.5548 0.0000 3.6181
Th 3.8366 2.2177 0.0000
Pa -1.2818 2.2177 3.6181
Sb -0.0874 0.0000 5.4116
Sb 1.1960 2.2177 1.7741
Sb 5.1971 0.0000 1.8246
Sb 3.9137 2.2177 5.4621
```

Summary:
Its symmetry is No. 10. Its uncorrected formation energy is -0.829 eV per atom. As for the crystal system: monoclinic. The value obtained for the final energy is -52.02 eV per cell. The total magnetic moment is 0.557 μB/f.u.

***

(2)
This record from the Alexandria database describes an optimized crystal structure of SrTbPb. The functional is PBE-GGA.

Structure (extended XYZ):
```
6
Lattice="1.8492 -9.5092 0.0000 1.8492 9.5092 0.0000 0.0000 0.0000 6.2094" Properties=species:S:1:pos:R:3 pbc="T T T"
Sr 1.8492 6.2406 4.6570
Sr 1.8492 -6.2406 1.5523
Tb 1.8492 0.0000 0.0000
Tb 1.8492 0.0000 3.1047
Pb 1.8492 2.7866 4.6570
Pb 1.8492 -2.7866 1.5523
```

Summary:
Its symmetry is No. 63. As for the crystal system: orthorhombic. The energy of formation from the pure elements comes out at -15.6 kJ/mol of atoms. The value obtained for the final energy is -21.01 eV per cell. The total magnetic moment is 0.004 μB/f.u.

***

(3)
This record from the Alexandria database describes an optimized crystal structure of Nb6TcOs5. The functional is PBE-GGA.

Structure (extended XYZ):
```
12
Lattice="4.5892 0.0000 0.0000 0.0000 6.2100 0.0000 -1.8018 0.0000 6.8577" Properties=species:S:1:pos:R:3 pbc="T T T"
Nb 0.0000 1.5461 0.0000
Nb 0.0000 4.6640 0.0000
Nb 0.2503 1.5538 4.6340
Nb 0.2503 4.6563 4.6340
Nb 2.5371 1.5538 2.2237
Nb 2.5371 4.6563 2.2237
Tc 2.2946 3.1050 0.0000
Os 0.2591 3.1050 2.3571
Os 0.2812 0.0000 2.3759
Os 2.2946 0.0000 0.0000
Os 2.5062 0.0000 4.4819
Os 2.5283 3.1050 4.5006
```

Summary:
Its symmetry is No. 10. As for the crystal system: monoclinic. The energy of formation from the pure elements comes out at -15.4 kJ/mol of atoms. The value obtained for the final energy is -128.85 eV per cell. The total magnetic moment is 0.000 μB/f.u.

***

(4)
This record from the Alexandria database describes an optimized crystal structure of LaCu2ReSe. The functional is PBE-GGA.

Structure (extended XYZ):
```
5
Lattice="4.6729 0.0000 0.0000 0.0000 4.6729 0.0000 0.0000 0.0000 4.7318" Properties=species:S:1:pos:R:3 pbc="T T T"
La 0.0000 0.0000 0.0000
Cu 0.0000 2.3364 2.3659
Cu 2.3364 0.0000 2.3659
Re 2.3364 2.3364 0.0000
Se 2.3364 2.3364 2.3659
```

Summary:
Its symmetry is No. 123. Its uncorrected formation energy is 0.504 eV per atom. As for the crystal system: tetragonal. The value obtained for the final energy is -26.53 eV per cell. The total magnetic moment is 0.000 μB/f.u.

***

(5)
This record from the Alexandria database describes an optimized crystal structure of In6SnHg10. The functional is PBE-GGA.

Structure (extended XYZ):
```
17
Lattice="9.1772 0.0000 0.0000 -4.5886 7.9477 0.0000 0.0000 0.0000 6.3088" Properties=species:S:1:pos:R:3 pbc="T T T"
In -1.7558 3.0411 1.6880
In -2.8329 4.9066 4.6208
In 3.5115 0.0000 1.6880
In 1.7558 3.0411 4.6208
In 5.6657 0.0000 4.6208
In 2.8329 4.9066 1.6880
Sn 0.0000 0.0000 3.1544
Hg -1.2369 2.1424 4.9957
Hg -3.3517 5.8054 1.3131
Hg 2.4738 0.0000 4.9957
Hg 1.2369 2.1424 1.3131
Hg 0.0000 5.2985 0.0000
Hg 0.0000 5.2985 3.1544
Hg 4.5886 2.6492 0.0000
Hg 4.5886 2.6492 3.1544
Hg 6.7034 0.0000 1.3131
Hg 3.3517 5.8054 4.9957
```

Summary:
Its symmetry is No. 162. As for the crystal system: trigonal. The energy of formation from the pure elements comes out at 2.6 kJ/mol of atoms. The value obtained for the final energy is -22.99 eV per cell. The total magnetic moment is 0.000 μB/f.u.

***

(6)
This record from the Alexandria database describes an optimized crystal structure of K2YSbP. The functional is PBE-GGA.

Structure (extended XYZ):
```
5
Lattice="5.9070 0.0000 0.0000 0.0000 5.9070 0.0000 0.0000 0.0000 5.3427" Properties=species:S:1:pos:R:3 pbc="T T T"
K 0.0000 2.9535 0.0000
K 2.9535 0.0000 0.0000
Y 0.0000 0.0000 2.6714
Sb 2.9535 2.9535 2.6714
P 0.0000 0.0000 0.0000
```

Summary:
Its symmetry is No. 123. Its uncorrected formation energy is -0.224 eV per atom. As for the crystal system: tetragonal. The value obtained for the final energy is -19.31 eV per cell. The total magnetic moment is 0.817 μB/f.u.

***

(7)
This record from the Alexandria database describes an optimized crystal structure of TbNd2TmIn2. The functional is PBE-GGA.

Structure (extended XYZ):
```
12
Lattice="5.2412 0.0000 0.0000 0.0000 9.9980 0.0000 0.0000 0.0000 6.8140" Properties=species:S:1:pos:R:3 pbc="T T T"
Tb 0.0000 0.3808 0.0000
Tb 0.0000 9.6172 3.4070
Nd 0.0000 3.1854 2.3859
Nd 0.0000 6.8126 5.7929
Nd 2.6206 4.6024 0.4905
Nd 2.6206 5.3956 3.8975
Tm 2.6206 1.7861 4.9218
Tm 2.6206 8.2119 1.5148
In 0.0000 3.4711 5.6183
In 0.0000 6.5269 2.2113
In 2.6206 1.3341 1.7040
In 2.6206 8.6639 5.1110
```

Summary:
Its symmetry is No. 26. As for the crystal system: orthorhombic. The energy of formation from the pure elements comes out at -33.6 kJ/mol of atoms. The value obtained for the final energy is -52.41 eV per cell. The total magnetic moment is 0.000 μB/f.u.

***

(8)
This record from the Alexandria database describes an optimized crystal structure of KLi2P. The functional is PBE-GGA.

Structure (extended XYZ):
```
4
Lattice="2.1595 1.2468 5.5529 -2.1595 1.2468 5.5529 0.0000 -2.4936 5.5529" Properties=species:S:1:pos:R:3 pbc="T T T"
K 0.0000 0.0000 0.0000
Li 0.0000 0.0000 3.1070
Li 0.0000 0.0000 13.5517
P 0.0000 0.0000 8.3293
```

Summary:
Its symmetry is No. 166. As for the crystal system: trigonal. The energy of formation from the pure elements comes out at -51.8 kJ/mol of atoms. The value obtained for the final energy is -12.48 eV per cell. The total magnetic moment is 0.000 μB/f.u.